No. 1
This record from the Alexandria database describes a relaxed Co2ReMo crystal. The functional is PBE.

Lattice parameters (Å, degrees): 2.6294 3.7012 5.2776 90.00 90.00 90.00
Last column: nearest neighbours and their distance in Å.
Atoms (fractional coordinates):
1 Co 0.0000 0.0000 0.2435  4 Co 2.57-2.71, 4 Re 2.61, 4 Mo 2.64
2 Co 0.0000 0.0000 0.7565  4 Co 2.57-2.71, 4 Re 2.61, 4 Mo 2.64
3 Re 0.5000 0.5000 0.0000  8 Co 2.61, 2 Re 2.63, 2 Mo 2.64
4 Mo 0.5000 0.5000 0.5000  2 Mo 2.63, 2 Re 2.64, 8 Co 2.64

For the energy above the most stable polymorph in this dataset, the calculation gives 68.1 meV/atom. Its energy relative to the elements is 0.026 eV per atom. The value obtained for the total energy is -37.4 eV for the cell shown. The total moment is 0.3 μB/f.u.

No. 2
This record from the Alexandria database describes a relaxed Ce3IrPb crystal. The functional is PBE.

Lattice parameters (Å, degrees): 5.4445 5.4445 5.4445 90.00 90.00 90.00
Last column: nearest neighbours and their distance in Å.
Atoms (fractional coordinates):
1 Ce 0.0000 0.0000 0.5000  2 Ir 2.72
2 Ce 0.0000 0.5000 0.0000  2 Ir 2.72
3 Ce 0.5000 0.0000 0.0000  2 Ir 2.72
4 Ir 0.0000 0.0000 0.0000  6 Ce 2.72
5 Pb 0.5000 0.5000 0.5000  12 Ce 3.85

For the energy above the most stable polymorph in this dataset, the calculation gives 40.7 meV/atom. Its energy relative to the elements is -0.369 eV per atom. The value obtained for the total energy is -32.2 eV for the cell shown. The total moment is 2.8 μB/f.u.

No. 3
This record from the Alexandria database describes a relaxed NdZr6P9O36 crystal. The functional is PBE.

Lattice parameters (Å, degrees): 8.9486 8.9486 23.1785 90.00 90.00 120.00
Last column: nearest neighbours and their distance in Å.
Atoms (fractional coordinates):
1 Nd 0.0000 0.0000 0.0000  6 O 2.45
2 Nd 0.0000 0.0000 0.5000  6 O 2.45
3 Zr 0.0000 0.0000 0.1501  6 O 2.02-2.24
4 Zr 0.0000 0.0000 0.3499  6 O 2.02-2.24
5 Zr 0.0000 0.0000 0.6501  6 O 2.02-2.24
6 Zr 0.0000 0.0000 0.8499  6 O 2.02-2.24
7 Zr 0.3333 0.6667 0.0287  6 O 2.07-2.13
8 Zr 0.3333 0.6667 0.3125  6 O 2.07-2.11
9 Zr 0.3333 0.6667 0.5287  6 O 2.07-2.13
10 Zr 0.3333 0.6667 0.8125  6 O 2.07-2.11
11 Zr 0.6667 0.3333 0.1875  6 O 2.07-2.11
12 Zr 0.6667 0.3333 0.4713  6 O 2.07-2.13
13 Zr 0.6667 0.3333 0.6875  6 O 2.07-2.11
14 Zr 0.6667 0.3333 0.9713  6 O 2.07-2.13
15 P 0.0000 0.2911 0.2500  4 O 1.52-1.56
16 P 0.0000 0.7089 0.7500  4 O 1.52-1.56
17 P 0.0545 0.3760 0.9207  4 O 1.53-1.59
18 P 0.0545 0.6785 0.4207  4 O 1.53-1.59
19 P 0.2911 0.0000 0.2500  4 O 1.52-1.56
20 P 0.2911 0.2911 0.7500  4 O 1.52-1.56
21 P 0.3215 0.3760 0.4207  4 O 1.53-1.59
22 P 0.3215 0.9455 0.9207  4 O 1.53-1.59
23 P 0.3760 0.0545 0.5793  4 O 1.53-1.59
24 P 0.3760 0.3215 0.0793  4 O 1.53-1.59
25 P 0.6240 0.6785 0.9207  4 O 1.53-1.59
26 P 0.6240 0.9455 0.4207  4 O 1.53-1.59
27 P 0.6785 0.0545 0.0793  4 O 1.53-1.59
28 P 0.6785 0.6240 0.5793  4 O 1.53-1.59
29 P 0.7089 0.0000 0.7500  4 O 1.52-1.56
30 P 0.7089 0.7089 0.2500  4 O 1.52-1.56
31 P 0.9455 0.3215 0.5793  4 O 1.53-1.59
32 P 0.9455 0.6240 0.0793  4 O 1.53-1.59
33 O 0.0188 0.1836 0.9189  1 P 1.59
34 O 0.0188 0.8352 0.4189  1 P 1.59
35 O 0.0327 0.2051 0.1967  1 P 1.56
36 O 0.0327 0.8277 0.6967  1 P 1.56
37 O 0.1207 0.4893 0.5756  1 P 1.54
38 O 0.1207 0.6314 0.0756  1 P 1.54
39 O 0.1488 0.4699 0.8658  1 P 1.53
40 O 0.1488 0.6789 0.3658  1 P 1.53
41 O 0.1587 0.4670 0.2605  1 P 1.52
42 O 0.1587 0.6917 0.7605  1 P 1.52
43 O 0.1635 0.4558 0.9753  1 P 1.54
44 O 0.1635 0.7076 0.4753  1 P 1.54
45 O 0.1648 0.1836 0.4189  1 P 1.59
46 O 0.1648 0.9812 0.9189  1 P 1.59
47 O 0.1723 0.2051 0.6967  1 P 1.56
48 O 0.1723 0.9673 0.1967  1 P 1.56
49 O 0.1836 0.0188 0.5811  1 P 1.59
50 O 0.1836 0.1648 0.0811  1 P 1.59
51 O 0.2051 0.0327 0.3033  1 P 1.56
52 O 0.2051 0.1723 0.8033  1 P 1.56
53 O 0.2924 0.4558 0.4753  1 P 1.54
54 O 0.2924 0.8365 0.9753  1 P 1.54
55 O 0.3083 0.4670 0.7605  1 P 1.52
56 O 0.3083 0.8413 0.2605  1 P 1.52
57 O 0.3211 0.4699 0.3658  1 P 1.53
58 O 0.3211 0.8512 0.8658  1 P 1.53
59 O 0.3686 0.4893 0.0756  1 P 1.54
60 O 0.3686 0.8793 0.5756  1 P 1.54
61 O 0.4558 0.1635 0.5247  1 P 1.54
62 O 0.4558 0.2924 0.0247  1 P 1.54
63 O 0.4670 0.1587 0.2395  1 P 1.52
64 O 0.4670 0.3083 0.7395  1 P 1.52
65 O 0.4699 0.1488 0.6342  1 P 1.53
66 O 0.4699 0.3211 0.1342  1 P 1.53
67 O 0.4893 0.1207 0.9244  1 P 1.54
68 O 0.4893 0.3686 0.4244  1 P 1.54
69 O 0.5107 0.6314 0.5756  1 P 1.54
70 O 0.5107 0.8793 0.0756  1 P 1.54
71 O 0.5301 0.6789 0.8658  1 P 1.53
72 O 0.5301 0.8512 0.3658  1 P 1.53
73 O 0.5330 0.6917 0.2605  1 P 1.52
74 O 0.5330 0.8413 0.7605  1 P 1.52
75 O 0.5442 0.7076 0.9753  1 P 1.54
76 O 0.5442 0.8365 0.4753  1 P 1.54
77 O 0.6314 0.1207 0.4244  1 P 1.54
78 O 0.6314 0.5107 0.9244  1 P 1.54
79 O 0.6789 0.1488 0.1342  1 P 1.53
80 O 0.6789 0.5301 0.6342  1 P 1.53
81 O 0.6917 0.1587 0.7395  1 P 1.52
82 O 0.6917 0.5330 0.2395  1 P 1.52
83 O 0.7076 0.1635 0.0247  1 P 1.54
84 O 0.7076 0.5442 0.5247  1 P 1.54
85 O 0.7949 0.8277 0.1967  1 P 1.56
86 O 0.7949 0.9673 0.6967  1 P 1.56
87 O 0.8164 0.8352 0.9189  1 P 1.59
88 O 0.8164 0.9812 0.4189  1 P 1.59
89 O 0.8277 0.0327 0.8033  1 P 1.56
90 O 0.8277 0.7949 0.3033  1 P 1.56
91 O 0.8352 0.0188 0.0811  1 P 1.59
92 O 0.8352 0.8164 0.5811  1 P 1.59
93 O 0.8365 0.2924 0.5247  1 P 1.54
94 O 0.8365 0.5442 0.0247  1 P 1.54
95 O 0.8413 0.3083 0.2395  1 P 1.52
96 O 0.8413 0.5330 0.7395  1 P 1.52
97 O 0.8512 0.3211 0.6342  1 P 1.53
98 O 0.8512 0.5301 0.1342  1 P 1.53
99 O 0.8793 0.3686 0.9244  1 P 1.54
100 O 0.8793 0.5107 0.4244  1 P 1.54
101 O 0.9673 0.1723 0.3033  1 P 1.56
102 O 0.9673 0.7949 0.8033  1 P 1.56
103 O 0.9812 0.1648 0.5811  1 P 1.59
104 O 0.9812 0.8164 0.0811  1 P 1.59

For the formation energy (no corrections), the calculation gives -2.76 eV/atom. The value obtained for the total energy is -853.2 eV for the cell shown. The total moment is 0.0 μB/f.u.

No. 4
This record from the Alexandria database describes a relaxed K3Er3PuO8 crystal. The functional is PBE.

Lattice parameters (Å, degrees): 7.4772 7.4772 7.4772 54.92 54.92 54.92
Last column: nearest neighbours and their distance in Å.
Atoms (fractional coordinates):
1 K 0.0000 0.5000 0.5000  6 O 2.84-2.85
2 K 0.5000 0.0000 0.5000  6 O 2.84-2.85
3 K 0.5000 0.5000 0.0000  6 O 2.84-2.85
4 Er 0.0000 0.0000 0.5000  6 O 2.29-2.30
5 Er 0.0000 0.5000 0.0000  6 O 2.29-2.30
6 Er 0.5000 0.0000 0.0000  6 O 2.29-2.30
7 Pu 0.5000 0.5000 0.5000  6 O 2.24
8 O 0.2263 0.2263 0.2263  3 Er 2.29
9 O 0.2327 0.7210 0.7210  1 Pu 2.24, 2 Er 2.30
10 O 0.2790 0.2790 0.7673  1 Pu 2.24, 2 Er 2.30
11 O 0.2790 0.7673 0.2790  1 Pu 2.24, 2 Er 2.30
12 O 0.7210 0.2327 0.7210  1 Pu 2.24, 2 Er 2.30
13 O 0.7210 0.7210 0.2327  1 Pu 2.24, 2 Er 2.30
14 O 0.7673 0.2790 0.2790  1 Pu 2.24, 2 Er 2.30
15 O 0.7737 0.7737 0.7737  3 Er 2.29

For the formation energy (no corrections), the calculation gives -2.84 eV/atom. The value obtained for the total energy is -113.6 eV for the cell shown. The total moment is 4.0 μB/f.u.

No. 5
This record from the Alexandria database describes a relaxed K3Cd9Pt2 crystal. The functional is PBE.

Lattice parameters (Å, degrees): 7.1695 7.1695 8.8098 90.00 90.00 120.00
Last column: nearest neighbours and their distance in Å.
Atoms (fractional coordinates):
1 K 0.0000 0.0000 0.0000  12 Cd 3.58-3.63
2 K 0.3333 0.6667 0.3348  12 Cd 3.58-3.60
3 K 0.6667 0.3333 0.6652  12 Cd 3.58-3.60
4 Cd 0.0000 0.5000 0.0000  2 Pt 2.69
5 Cd 0.1472 0.2944 0.6445  1 Pt 2.71
6 Cd 0.1472 0.8528 0.6445  1 Pt 2.71
7 Cd 0.2944 0.1472 0.3555  1 Pt 2.71
8 Cd 0.5000 0.0000 0.0000  2 Pt 2.69
9 Cd 0.5000 0.5000 0.0000  2 Pt 2.69
10 Cd 0.7056 0.8528 0.6445  1 Pt 2.71
11 Cd 0.8528 0.1472 0.3555  1 Pt 2.71
12 Cd 0.8528 0.7056 0.3555  1 Pt 2.71
13 Pt 0.3333 0.6667 0.8051  6 Cd 2.69-2.71
14 Pt 0.6667 0.3333 0.1949  6 Cd 2.69-2.71

Its energy relative to the elements is -0.172 eV per atom. The value obtained for the total energy is -26.0 eV for the cell shown. The total moment is 0.0 μB/f.u.

No. 6
This record from the Alexandria database describes a relaxed ScAgPt3 crystal. The functional is PBE.

Lattice parameters (Å, degrees): 4.8024 4.8024 4.8024 90.00 90.00 90.00
Last column: nearest neighbours and their distance in Å.
Atoms (fractional coordinates):
1 Sc 0.0000 0.0000 0.0000  6 Pt 2.40
2 Ag 0.5000 0.5000 0.5000  12 Pt 3.40
3 Pt 0.0000 0.0000 0.5000  2 Sc 2.40
4 Pt 0.0000 0.5000 0.0000  2 Sc 2.40
5 Pt 0.5000 0.0000 0.0000  2 Sc 2.40

For the energy above the most stable polymorph in this dataset, the calculation gives 0.0 meV/atom. Its energy relative to the elements is 0.589 eV per atom. The value obtained for the total energy is -24.4 eV for the cell shown. The total moment is 0.0 μB/f.u.